No. 1
# Dy2GeS

Dy2GeS after structural relaxation (PBE, the Alexandria database).

The calculation puts the calculated total energy at -5.797 eV per atom. For the energy above the most stable polymorph in this dataset, the calculation gives 0.186 eV/atom. For the raw formation energy, the calculation gives -5.24 eV per formula unit.

Cell lengths 3.9875, 3.9875, 7.3636 Å; angles 74.29, 74.29, 60.00 degrees
Last column: nearest neighbours and their distance in Å.
Positions (direct):
Ge: 0.6677 0.6677 0.9970  6 Dy 2.84-2.85
Dy: 0.2543 0.2543 0.2372  3 Ge 2.85, 3 S 2.98
Dy: 0.0804 0.0804 0.7588  3 Ge 2.84, 3 S 2.90
S: 0.4977 0.4977 0.5070  6 Dy 2.90-2.98



No. 2
# DyGe6S8

DyGe6S8 after structural relaxation (PBE, the Alexandria database).

The calculation puts the calculated total energy at -4.820 eV per atom. For the raw formation energy, the calculation gives -6.98 eV per formula unit.

Cell lengths 7.3647, 7.3647, 7.3647 Å; angles 77.28, 77.28, 77.28 degrees
Last column: nearest neighbours and their distance in Å.
Positions (direct):
Ge: 0.1312 0.3609 0.6027  3 S 2.42-2.46
Ge: 0.6391 0.3973 0.8688  3 S 2.42-2.46
S: 0.1328 0.8060 0.3234  2 Ge 2.42-2.43
S: 0.6766 0.8672 0.1940  2 Ge 2.42-2.43
Ge: 0.6027 0.1312 0.3609  3 S 2.42-2.46
Ge: 0.8688 0.6391 0.3973  3 S 2.42-2.46
S: 0.3234 0.1328 0.8060  2 Ge 2.42-2.43
Ge: 0.3973 0.8688 0.6391  3 S 2.42-2.46
S: 0.1940 0.6766 0.8672  2 Ge 2.42-2.43
S: 0.2885 0.2885 0.2885  3 Ge 2.46
S: 0.7115 0.7115 0.7115  3 Ge 2.46
S: 0.8672 0.1940 0.6766  2 Ge 2.42-2.43
S: 0.8060 0.3234 0.1328  2 Ge 2.42-2.43
Ge: 0.3609 0.6027 0.1312  3 S 2.42-2.46
Dy: 0.0000 0.0000 0.0000  6 S 2.75



No. 3
# Dy5GeS5

Dy5GeS5 after structural relaxation (PBE, the Alexandria database).

The calculation puts the calculated total energy at -6.260 eV per atom. For the raw formation energy, the calculation gives -20.60 eV per formula unit.

Cell lengths 5.5826, 6.8666, 7.9317 Å; angles 106.72, 90.00, 113.99 degrees
Last column: nearest neighbours and their distance in Å.
Positions (direct):
Dy: 0.8387 0.6774 0.1762  5 S 2.72-2.81, 1 Ge 2.80
Ge: 0.0000 0.0000 0.0000  6 Dy 2.79-2.82
S: 0.3298 0.6595 0.6669  5 Dy 2.77-2.83
Dy: 0.1613 0.3226 0.8238  5 S 2.72-2.81, 1 Ge 2.80
Dy: 0.8344 0.6688 0.6627  5 S 2.77-2.82, 1 Ge 2.82
S: 0.0000 0.0000 0.5000  4 Dy 2.72-2.77
S: 0.6702 0.3405 0.3331  5 Dy 2.77-2.83
S: 0.3276 0.6553 0.1588  5 Dy 2.80-2.82
Dy: 0.5000 0.0000 0.0000  2 Ge 2.79, 4 S 2.82-2.83
S: 0.6724 0.3447 0.8412  5 Dy 2.80-2.82
Dy: 0.1656 0.3312 0.3373  5 S 2.77-2.82, 1 Ge 2.82



No. 4
# Dy3GeS2

Dy3GeS2 after structural relaxation (PBE, the Alexandria database).

The calculation puts the calculated total energy at -6.134 eV per atom. For the energy above the most stable polymorph in this dataset, the calculation gives 0.000 eV/atom. For the raw formation energy, the calculation gives -10.13 eV per formula unit.

Cell lengths 4.0202, 5.6530, 6.9113 Å; angles 114.14, 106.88, 90.00 degrees
Last column: nearest neighbours and their distance in Å.
Positions (direct):
S: 0.1668 0.6664 0.3329  6 Dy 2.83
S: 0.8332 0.3336 0.6671  6 Dy 2.83
Dy: 0.5000 0.5000 0.0000  2 Ge 2.83, 4 S 2.83
Dy: 0.8330 0.8330 0.6661  4 S 2.83, 2 Ge 2.83
Ge: 0.5000 0.0000 0.0000  6 Dy 2.83
Dy: 0.1670 0.1670 0.3339  4 S 2.83, 2 Ge 2.83



No. 5
# Dy3GeS6

Dy3GeS6 after structural relaxation (PBE, the Alexandria database).

The calculation puts the calculated total energy at -5.897 eV per atom. For the raw formation energy, the calculation gives -15.78 eV per formula unit.

Cell lengths 6.5941, 8.5262, 8.5262 Å; angles 102.56, 90.00, 90.00 degrees
Last column: nearest neighbours and their distance in Å.
Positions (direct):
S: 0.7044 0.5635 0.0986  1 Ge 2.35
S: 0.6456 0.2180 0.7820  1 Ge 2.49, 2 Dy 2.76
Ge: 0.0212 0.2000 0.8000  4 S 2.35-2.49
Ge: 0.5212 0.8000 0.2000  4 S 2.35-2.49
S: 0.6883 0.6330 0.6908  4 Dy 2.69-2.78
Dy: 0.8978 0.5981 0.4019  7 S 2.74-2.94
Dy: 0.3978 0.4019 0.5981  7 S 2.74-2.94
Dy: 0.4802 0.2846 0.0866  7 S 2.69-2.96
Dy: 0.9802 0.0866 0.2846  7 S 2.69-2.96
Dy: 0.4802 0.9134 0.7154  7 S 2.69-2.96
S: 0.1456 0.7820 0.2180  1 Ge 2.49, 2 Dy 2.76
Dy: 0.9802 0.7154 0.9134  7 S 2.69-2.96
S: 0.1883 0.6908 0.6330  4 Dy 2.69-2.78
S: 0.1883 0.3670 0.3092  4 Dy 2.69-2.78
S: 0.6883 0.3092 0.3670  4 Dy 2.69-2.78
S: 0.1751 0.0358 0.9642  1 Ge 2.41
S: 0.6751 0.9642 0.0358  1 Ge 2.41
S: 0.2044 0.4365 0.9014  1 Ge 2.35
S: 0.2044 0.0986 0.5635  1 Ge 2.35
S: 0.7044 0.9014 0.4365  1 Ge 2.35



No. 6
# Dy2GeS

Dy2GeS after structural relaxation (PBE, the Alexandria database).

The calculation puts the calculated total energy at -5.982 eV per atom. For the energy above the most stable polymorph in this dataset, the calculation gives 0.000 eV/atom. For the raw formation energy, the calculation gives -5.98 eV per formula unit.

Cell lengths 5.7121, 5.7121, 11.4335 Å; angles 90.00, 90.00, 90.00 degrees
Last column: nearest neighbours and their distance in Å.
Positions (direct):
Dy: 0.2504 0.9999 0.6230  3 S 2.84-2.86, 3 Ge 2.86-2.88
S: 0.7504 0.0000 0.6250  6 Dy 2.84-2.86
Dy: 0.2504 0.5001 0.8770  3 S 2.84-2.86, 3 Ge 2.86-2.88
S: 0.2496 0.0000 0.3750  6 Dy 2.84-2.86
Dy: 0.7504 0.5000 0.6270  3 S 2.84-2.86, 3 Ge 2.86-2.88
Dy: 0.7504 0.0000 0.8730  3 S 2.84-2.86, 3 Ge 2.86-2.88
Ge: 0.2504 0.4999 0.6250  6 Dy 2.86-2.88
Ge: 0.7496 0.5001 0.3750  6 Dy 2.86-2.88
S: 0.7504 0.5000 0.8750  6 Dy 2.84-2.86
Ge: 0.7496 0.9999 0.1250  6 Dy 2.86-2.88
S: 0.2496 0.5000 0.1250  6 Dy 2.84-2.86
Dy: 0.7496 0.0001 0.3770  3 S 2.84-2.86, 3 Ge 2.86-2.88
Dy: 0.2496 0.5000 0.3730  3 S 2.84-2.86, 3 Ge 2.86-2.88
Dy: 0.7496 0.4999 0.1230  3 S 2.84-2.86, 3 Ge 2.86-2.88
Dy: 0.2496 0.0000 0.1270  3 S 2.84-2.86, 3 Ge 2.86-2.88
Ge: 0.2504 0.0001 0.8750  6 Dy 2.86-2.88



No. 7
# Dy3GeS2

Dy3GeS2 after structural relaxation (PBE, the Alexandria database).

The calculation puts the calculated total energy at -5.363 eV per atom. For the energy above the most stable polymorph in this dataset, the calculation gives 0.771 eV/atom. For the raw formation energy, the calculation gives -5.50 eV per formula unit.

Cell lengths 6.4645, 7.5805, 7.5805 Å; angles 89.54, 90.00, 90.00 degrees
Last column: nearest neighbours and their distance in Å.
Positions (direct):
S: 0.0000 0.1674 0.1674  4 Dy 2.66
Ge: 0.2500 0.3694 0.6306  2 Dy 2.87
Dy: 0.2500 0.4310 0.2559  2 S 2.66, 1 Ge 2.87
Dy: 0.7500 0.1025 0.8975  4 S 2.66
Ge: 0.7500 0.6306 0.3694  2 Dy 2.87
S: 0.5000 0.1674 0.1674  4 Dy 2.66
Dy: 0.7500 0.2559 0.4310  2 S 2.66, 1 Ge 2.87
Dy: 0.7500 0.5690 0.7441  2 S 2.66, 1 Ge 2.87
S: 0.0000 0.8326 0.8326  4 Dy 2.66
Dy: 0.2500 0.8975 0.1025  4 S 2.66
Dy: 0.2500 0.7441 0.5690  2 S 2.66, 1 Ge 2.87
S: 0.5000 0.8326 0.8326  4 Dy 2.66



No. 8
# DyGeS2

DyGeS2 after structural relaxation (PBE, the Alexandria database).

The calculation puts the calculated total energy at -5.449 eV per atom. For the energy above the most stable polymorph in this dataset, the calculation gives 0.000 eV/atom. For the raw formation energy, the calculation gives -4.32 eV per formula unit.

Cell lengths 3.8187, 5.6319, 5.3870 Å; angles 103.72, 69.28, 132.07 degrees
Last column: nearest neighbours and their distance in Å.
Positions (direct):
Ge: 0.6990 0.9126 0.1157  1 S 2.31
Dy: 0.4061 0.4125 0.7086  7 S 2.82-2.96, 2 Ge 2.93
S: 0.6983 0.4120 0.1212  4 Ge 2.81-2.85, 3 Dy 2.82-2.96
S: 0.4739 0.9124 0.5733  1 Ge 2.31